No. 1
## MgGe2Bi2Pt7 (GGA-PBE)

Data for MgGe2Bi2Pt7 after structural relaxation.

Cell and atoms, written as POSCAR:
```
MgGe2Bi2Pt7
1.0
2.814 -2.813 0.000
2.814 2.813 0.000
-2.791 0.000 15.336
Mg Ge Bi Pt
1 2 2 7
Cartesian
0.000 0.000 0.000
0.027 0.000 11.771
2.810 0.000 3.565
0.009 0.000 6.462
2.829 0.000 8.875
1.402 1.405 2.040
0.014 0.000 9.327
1.435 1.405 13.296
2.814 0.000 0.000
1.402 -1.405 2.040
2.823 0.000 6.009
1.435 -1.405 13.296
```

The energy of formation comes out at -40 kJ/mol of atoms. Its electronic total energy is -5.49 eV/atom.


No. 2
## MgSc2GeBi (GGA-PBE)

Data for MgSc2GeBi after structural relaxation.

Cell and atoms, written as POSCAR:
```
MgSc2GeBi
1.0
5.303 0.000 0.000
0.000 5.303 0.000
0.000 0.000 4.766
Mg Sc Ge Bi
1 2 1 1
Cartesian
0.000 0.000 0.000
0.000 2.651 0.000
2.651 0.000 0.000
0.000 0.000 2.383
2.651 2.651 2.383
```

The energy of formation comes out at 41 kJ/mol of atoms. Its electronic total energy is -4.13 eV/atom.


No. 3
## Mg2GeBiSe (GGA-PBE)

Data for Mg2GeBiSe after structural relaxation.

Cell and atoms, written as POSCAR:
```
Mg2GeBiSe
1.0
5.378 0.000 0.000
0.000 5.378 0.000
0.000 0.000 5.749
Mg Ge Bi Se
2 1 1 1
Cartesian
0.000 2.689 0.000
2.689 0.000 0.000
0.000 0.000 2.875
2.689 2.689 0.000
2.689 2.689 2.875
```

Its electronic total energy is -2.46 eV/atom. Its formation energy (no corrections) is 2.9 eV/f.u.


No. 4
## MgTlGe2Bi (GGA-PBE)

Data for MgTlGe2Bi after structural relaxation.

Cell and atoms, written as POSCAR:
```
MgTlGe2Bi
1.0
5.135 0.000 0.000
0.000 5.135 0.000
0.000 0.000 5.573
Mg Tl Ge Bi
1 1 2 1
Cartesian
0.000 0.000 0.000
2.567 2.567 2.787
0.000 2.567 0.000
2.567 0.000 0.000
0.000 0.000 2.787
```

The energy of formation comes out at 47 kJ/mol of atoms. Its electronic total energy is -2.92 eV/atom.


No. 5
## Mn2GeBi (GGA-PBE)

Data for Mn2GeBi after structural relaxation.

Cell and atoms, written as POSCAR:
```
Mn2GeBi
1.0
0.000 3.133 3.133
3.133 0.000 3.133
3.133 3.133 0.000
Mn Ge Bi
2 1 1
Cartesian
1.567 1.567 1.567
4.700 4.700 4.700
0.000 0.000 0.000
3.133 3.133 3.133
```

The energy of formation comes out at 58 kJ/mol of atoms. Its electronic total energy is -6.11 eV/atom.


No. 6
## MnGeBi2 (GGA-PBE)

Data for MnGeBi2 after structural relaxation.

Cell and atoms, written as POSCAR:
```
MnGeBi2
1.0
-3.227 3.227 6.411
3.227 -3.227 6.411
3.227 3.227 -6.411
Mn Ge Bi
2 2 4
Cartesian
0.000 0.000 0.000
0.000 3.227 3.205
3.227 0.000 3.205
0.000 0.000 6.411
4.841 1.557 -1.603
1.557 1.614 1.603
-1.614 1.670 4.808
1.670 1.614 8.014
```

The energy of formation comes out at 39 kJ/mol of atoms. Its electronic total energy is -4.99 eV/atom.


No. 7
## MnNbGeBi2 (GGA-PBE)

Data for MnNbGeBi2 after structural relaxation.

Cell and atoms, written as POSCAR:
```
MnNbGeBi2
1.0
5.260 0.000 0.000
0.000 5.260 0.000
0.000 0.000 4.569
Mn Nb Ge Bi
1 1 1 2
Cartesian
0.000 0.000 0.000
2.630 2.630 2.284
0.000 0.000 2.284
0.000 2.630 0.000
2.630 0.000 0.000
```

The energy of formation comes out at 79 kJ/mol of atoms. Its electronic total energy is -5.50 eV/atom.